Entry 1:
{"formula": "PuScMn", "functional": "PBE", "state": "relaxed", "lattice_angstrom": [[-0.847, -1.157, -2.809], [2.914, -1.132, -0.412], [-2.690, -4.083, 4.263]], "species": ["Sc", "Mn", "Pu"], "frac_coords": [[0.306, 0.306, 0.611], [0.666, 0.666, 0.332], [0.028, 0.028, 0.056]], "dos_at_fermi_per_ev_cell": 4.69, "magmom_total_mub_per_atom": 1.31}



Entry 2:
{"formula": "PuSc2Mn", "functional": "PBE", "state": "relaxed", "lattice_angstrom": [[-0.186, -2.765, 1.479], [-1.462, -1.234, -2.491], [7.570, -2.280, -3.313]], "species": ["Sc", "Sc", "Mn", "Pu"], "frac_coords": [[0.000, 0.000, 0.807], [0.000, 0.000, 0.193], [0.500, 0.500, 0.000], [0.500, 0.500, 0.500]], "dos_at_fermi_per_ev_cell": 9.30, "magmom_total_mub_per_atom": 1.99, "e_above_lowest_polymorph_mev_per_atom": 0}



Calculated E_tot (eV per cell), listed in the same order as above: -29.62; -35.76
Calculated V (Å³ per atom), listed in the same order as above: 20.2; 21.1